Material: Ce3ThCo
Method: DFT, PBE-GGA
State: optimized geometry

Lattice parameters (Å, degrees): 5.1927 5.1927 5.1927 90.00 90.00 90.00
Fractional positions:
1 Co 0.0000 0.0000 0.0000
2 Ce 0.0000 0.5000 0.0000
3 Ce 0.0000 0.0000 0.5000
4 Ce 0.5000 0.0000 0.0000
5 Th 0.5000 0.5000 0.5000

Total magnetic moment: 0.0 μB per cell
SG: No. 221
DOS(E_F): 14.77 states/eV per cell
Formation energy from the elements: 0.11 eV per atom

=====

Material: Ce2TiCo9
Method: DFT, PBE-GGA
State: optimized geometry

Lattice parameters (Å, degrees): 4.7829 4.7829 8.7409 74.12 74.12 60.00
Fractional positions:
1 Ti 0.0000 0.0000 0.0000
2 Co 0.3330 0.3330 0.0010
3 Ce 0.1383 0.1383 0.5852
4 Co 0.4227 0.9200 0.2345
5 Co 0.5773 0.5773 0.7655
6 Co 0.5000 0.5000 0.5000
7 Ce 0.8617 0.8617 0.4148
8 Co 0.4227 0.4227 0.2345
9 Co 0.0800 0.5773 0.7655
10 Co 0.5773 0.0800 0.7655
11 Co 0.6670 0.6670 0.9990
12 Co 0.9200 0.4227 0.2345

Total magnetic moment: 6.9 μB per cell
SG: No. 166
DOS(E_F): 15.17 states/eV per cell
Formation energy from the elements: -0.12 eV per atom

=====

Material: CeTiCo
Method: DFT, PBE-GGA
State: optimized geometry

Lattice parameters (Å, degrees): 4.1137 7.0119 8.0006 91.91 104.90 90.00
Fractional positions:
1 Ce 0.0372 0.3185 0.0743
2 Co 0.6439 0.5425 0.2878
3 Ce 0.4282 0.1363 0.8564
4 Ti 0.2222 0.1177 0.4445
5 Ti 0.7874 0.3815 0.5749
6 Ti 0.7778 0.8823 0.5555
7 Co 0.3561 0.4575 0.7122
8 Ti 0.2126 0.6185 0.4251
9 Co 0.6500 0.1922 0.2999
10 Ce 0.9628 0.6815 0.9257
11 Ce 0.5718 0.8637 0.1436
12 Co 0.3500 0.8078 0.7001

Total magnetic moment: 0.0 μB per cell
SG: No. 12
DOS(E_F): 19.06 states/eV per cell
Formation energy from the elements: -0.09 eV per atom

=====

Material: CeTi4Co5
Method: DFT, PBE-GGA
State: optimized geometry

Lattice parameters (Å, degrees): 2.9970 2.9970 15.6701 90.00 90.00 90.00
Fractional positions:
1 Ti 0.0000 0.0000 0.5934
2 Ti 0.0000 0.0000 0.4066
3 Ti 0.0000 0.0000 0.2173
4 Co 0.5000 0.5000 0.1366
5 Co 0.5000 0.5000 0.6838
6 Co 0.5000 0.5000 0.3162
7 Ti 0.0000 0.0000 0.7827
8 Co 0.5000 0.5000 0.8634
9 Co 0.5000 0.5000 0.5000
10 Ce 0.0000 0.0000 0.0000

Total magnetic moment: 0.0 μB per cell
SG: No. 123
DOS(E_F): 8.78 states/eV per cell
Formation energy from the elements: -0.35 eV per atom

=====

Material: Ce2TiCo
Method: DFT, PBE-GGA
State: optimized geometry

Lattice parameters (Å, degrees): 2.9576 2.9576 10.2054 81.67 81.67 60.00
Fractional positions:
1 Co 0.5000 0.5000 0.5000
2 Ce 0.0913 0.0913 0.7262
3 Ti 0.0000 0.0000 0.0000
4 Ce 0.9087 0.9087 0.2738

Total magnetic moment: 0.4 μB per cell
SG: No. 166
DOS(E_F): 6.37 states/eV per cell
Formation energy from the elements: 0.30 eV per atom

=====

Material: CeTi2Co9
Method: DFT, PBE-GGA
State: optimized geometry

Lattice parameters (Å, degrees): 4.7890 4.7890 8.3219 73.28 73.28 60.00
Fractional positions:
1 Co 0.4088 0.9205 0.2619
2 Ce 0.0000 0.0000 0.0000
3 Co 0.6640 0.6640 0.0081
4 Co 0.9205 0.4088 0.2619
5 Ti 0.1422 0.1422 0.5734
6 Co 0.4088 0.4088 0.2619
7 Co 0.3360 0.3360 0.9919
8 Ti 0.8578 0.8578 0.4266
9 Co 0.5000 0.5000 0.5000
10 Co 0.5912 0.0795 0.7381
11 Co 0.5912 0.5912 0.7381
12 Co 0.0795 0.5912 0.7381

Total magnetic moment: 8.2 μB per cell
SG: No. 166
DOS(E_F): 17.86 states/eV per cell
Formation energy from the elements: -0.21 eV per atom